VASP calculation (PBE) on La2AlNiAg after structural relaxation.

**Raw total energy**: -4.695 eV per atom
**Energy relative to the elements**: -0.249 eV per atom

abc: 5.4430 5.4430 4.5396
angles: 90.00 90.00 90.00
Last column: nearest neighbours and their distance in Å.
Atoms (fractional coordinates):
Ni  0.0000  0.0000  0.0000  2 Al 2.27
Al  0.0000  0.0000  0.5000  2 Ni 2.27
Ag  0.5000  0.5000  0.5000  8 La 3.54, 4 Al 3.85
La  0.0000  0.5000  0.0000  2 Ni 2.72
La  0.5000  0.0000  0.0000  2 Ni 2.72